# Tb2TlWO8 (PBE+U, relaxed)
data_Tb2TlWO8
_chemical_formula_sum 'Tb4 Tl2 W2 O16'
_symmetry_space_group_name_H-M 'C 1 2/m 1'
_symmetry_Int_Tables_number 12
_cell_length_a 6.881
_cell_length_b 7.201
_cell_length_c 7.144
_cell_angle_alpha 90.00
_cell_angle_beta 90.04
_cell_angle_gamma 90.00
loop_
_symmetry_equiv_pos_as_xyz
'x,y,z'
'-x,-y,-z'
'-x,y,-z'
'x,-y,z'
'x+1/2,y+1/2,z'
'-x+1/2,-y+1/2,-z'
'-x+1/2,y+1/2,-z'
'x+1/2,-y+1/2,z'
loop_
_atom_site_label
_atom_site_fract_x
_atom_site_fract_y
_atom_site_fract_z
_atom_site_occupancy
Tb1 0.001 0.000 0.251 1
Tl1 0.000 0.500 0.000 1
W1 0.000 0.500 0.500 1
O1 0.001 0.314 0.698 1
O2 0.201 0.000 0.000 1
O3 0.216 0.000 0.501 1
# electronic total energy	-7.1040	eV per atom